Computed, not measured: a relaxed structure of Cs2TbHoSe4 at the PBE-GGA level of DFT.

Cell lengths 4.2555, 4.2555, 16.6937 Å; angles 90.00, 90.00, 120.00 degrees
Sites, in units of the cell vectors:
Se (0.3333, 0.6667, 0.0923)
Se (0.6667, 0.3333, 0.5938)
Se (0.3333, 0.6667, 0.4062)
Se (0.6667, 0.3333, 0.9077)
Tb (0.0000, 0.0000, 0.5000)
Cs (0.3333, 0.6667, 0.7506)
Cs (0.6667, 0.3333, 0.2494)
Ho (0.0000, 0.0000, 0.0000)

energy	-4.835	eV per atom